# 1
! ZrSbAu PBE-GGA optimized geometry; values from VASP
&SYSTEM
  ibrav = 0, nat = 3, ntyp = 3
/
ATOMIC_SPECIES
Zr 91.22 Zr.upf
Sb 121.76 Sb.upf
Au 196.97 Au.upf
CELL_PARAMETERS angstrom
0.000 2.695 5.383
2.279 0.000 5.383
2.279 2.695 0.000
ATOMIC_POSITIONS angstrom
Zr 0.000 0.000 0.000
Sb 2.279 2.695 3.457
Au 2.279 2.695 7.032
! **Raw total energy**: -5.65 eV per atom
! **Energy relative to the elements, uncorrected**: -0.34 eV per atom

# 2
! Mg16Al12Bi PBE-GGA optimized geometry; values from VASP
&SYSTEM
  ibrav = 0, nat = 29, ntyp = 3
/
ATOMIC_SPECIES
Mg 24.30 Mg.upf
Al 26.98 Al.upf
Bi 208.98 Bi.upf
CELL_PARAMETERS angstrom
7.412 4.279 3.128
-7.412 4.279 3.128
0.000 -8.559 3.128
ATOMIC_POSITIONS angstrom
Mg 0.000 0.000 0.000
Mg 4.419 0.193 6.516
Mg 2.377 3.730 6.516
Mg 0.000 -5.556 2.041
Mg -4.811 2.778 2.041
Mg -2.330 -1.345 4.754
Mg 0.000 -3.368 4.194
Mg -2.917 1.684 4.194
Mg -4.419 0.193 6.516
Mg -2.042 -3.923 6.516
Mg 2.330 -1.345 4.754
Mg 0.000 2.690 4.754
Mg 4.811 2.778 2.041
Mg -2.377 3.730 6.516
Mg 2.042 -3.923 6.516
Mg 2.917 1.684 4.194
Al -1.384 -6.132 4.795
Al -6.002 1.867 4.795
Al -4.695 -2.711 5.698
Al 1.384 -6.132 4.795
Al -4.618 4.264 4.795
Al 0.000 -1.616 6.606
Al -1.399 0.808 6.606
Al 4.695 -2.711 5.698
Al 0.000 5.422 5.698
Al 1.399 0.808 6.606
Al 6.002 1.867 4.795
Al 4.618 4.264 4.795
Bi 0.000 0.000 3.232
! **ΔE to the lowest computed polymorph**: 0.000 eV/atom
! **Raw total energy**: -2.57 eV per atom

Question: raw total energy of number 2 (Mg16Al12Bi)?
Answer: -2.57 eV per atom

Question: raw total energy of number 2 (Mg16Al12Bi)?
Answer: -2.57 eV per atom

Question: Which formula does entry 1 have?
Answer: ZrSbAu

Please write out number 2 again, unchanged.
! Mg16Al12Bi PBE-GGA optimized geometry; values from VASP
&SYSTEM
  ibrav = 0, nat = 29, ntyp = 3
/
ATOMIC_SPECIES
Mg 24.30 Mg.upf
Al 26.98 Al.upf
Bi 208.98 Bi.upf
CELL_PARAMETERS angstrom
7.412 4.279 3.128
-7.412 4.279 3.128
0.000 -8.559 3.128
ATOMIC_POSITIONS angstrom
Mg 0.000 0.000 0.000
Mg 4.419 0.193 6.516
Mg 2.377 3.730 6.516
Mg 0.000 -5.556 2.041
Mg -4.811 2.778 2.041
Mg -2.330 -1.345 4.754
Mg 0.000 -3.368 4.194
Mg -2.917 1.684 4.194
Mg -4.419 0.193 6.516
Mg -2.042 -3.923 6.516
Mg 2.330 -1.345 4.754
Mg 0.000 2.690 4.754
Mg 4.811 2.778 2.041
Mg -2.377 3.730 6.516
Mg 2.042 -3.923 6.516
Mg 2.917 1.684 4.194
Al -1.384 -6.132 4.795
Al -6.002 1.867 4.795
Al -4.695 -2.711 5.698
Al 1.384 -6.132 4.795
Al -4.618 4.264 4.795
Al 0.000 -1.616 6.606
Al -1.399 0.808 6.606
Al 4.695 -2.711 5.698
Al 0.000 5.422 5.698
Al 1.399 0.808 6.606
Al 6.002 1.867 4.795
Al 4.618 4.264 4.795
Bi 0.000 0.000 3.232
! **ΔE to the lowest computed polymorph**: 0.000 eV/atom
! **Raw total energy**: -2.57 eV per atom